Model P:
This record from Alexandria describes a relaxed structure of LiNiPd3. The functional is GGA-PBE.

Calculated density, g cm⁻³: 8.7
Size of the total moment, μB per atom: 0.197

Geometry as CIF:
```
data_LiNiPd3
_symmetry_space_group_name_H-M 'P m -3 m'
_symmetry_Int_Tables_number 221
_symmetry_space_group_name_Hall '-P 4 2 3'
_cell_length_a 4.1932
_cell_length_b 4.1932
_cell_length_c 4.1932
_cell_angle_alpha 90.00
_cell_angle_beta 90.00
_cell_angle_gamma 90.00
loop_
_atom_site_label
_atom_site_type_symbol
_atom_site_fract_x
_atom_site_fract_y
_atom_site_fract_z
Li1 Li 0.0000 0.0000 0.0000
Ni1 Ni 0.5000 0.5000 0.5000
Pd1 Pd 0.0000 0.0000 0.5000
```

Model Q:
This record from Alexandria describes a relaxed structure of LiNiPd3. The functional is GGA-PBE.

Calculated density, g cm⁻³: 9.1
Size of the total moment, μB per atom: 0.250

Geometry as CIF:
```
data_LiNiPd3
_symmetry_space_group_name_H-M 'P 1'
_symmetry_Int_Tables_number 1
_cell_length_a 4.6921
_cell_length_b 5.3530
_cell_length_c 6.1371
_cell_angle_alpha 77.91
_cell_angle_beta 74.75
_cell_angle_gamma 73.37
loop_
_symmetry_equiv_pos_as_xyz
'x,y,z'
loop_
_atom_site_label
_atom_site_type_symbol
_atom_site_fract_x
_atom_site_fract_y
_atom_site_fract_z
Li1 Li 0.0000 0.0000 0.0000
Li2 Li 0.2017 0.3070 0.5895
Ni1 Ni 0.5878 0.4204 0.7966
Ni2 Ni 0.7888 0.7105 0.4078
Pd1 Pd 0.2075 0.7960 0.5884
Pd2 Pd 0.3926 0.6093 0.1879
Pd3 Pd 0.4210 0.1046 0.1855
Pd4 Pd 0.6005 0.9141 0.7867
Pd5 Pd 0.8010 0.2206 0.4086
Pd6 Pd 0.9978 0.4974 0.9905
```

Model R:
This record from Alexandria describes a relaxed structure of LiNiPd3. The functional is GGA-PBE.

Calculated density, g cm⁻³: 8.8
Size of the total moment, μB per atom: 0.269

Geometry as CIF:
```
data_LiNiPd3
_symmetry_space_group_name_H-M 'P -1'
_symmetry_Int_Tables_number 2
_cell_length_a 2.7500
_cell_length_b 4.8487
_cell_length_c 11.4224
_cell_angle_alpha 97.71
_cell_angle_beta 90.07
_cell_angle_gamma 106.22
loop_
_symmetry_equiv_pos_as_xyz
'x,y,z'
'-x,-y,-z'
loop_
_atom_site_label
_atom_site_type_symbol
_atom_site_fract_x
_atom_site_fract_y
_atom_site_fract_z
Li1 Li 0.0524 0.1019 0.3709
Ni1 Ni 0.3418 0.6879 0.2288
Pd1 Pd 0.1284 0.2544 0.9546
Pd2 Pd 0.2125 0.4214 0.5932
Pd3 Pd 0.3926 0.7853 0.8255
```

Computed stability ranking, most favorable first: model Q, model R, model P

Model P:
This record from Alexandria describes a relaxed structure of LiPmNi. The functional is GGA-PBE.

Calculated density, g cm⁻³: 6.1
Size of the total moment, μB per atom: 0.000

Geometry as CIF:
```
data_LiPmNi
_symmetry_space_group_name_H-M 'P 4/m m m'
_symmetry_Int_Tables_number 123
_symmetry_space_group_name_Hall '-P 4 2'
_cell_length_a 3.5251
_cell_length_b 3.5251
_cell_length_c 9.3015
_cell_angle_alpha 90.00
_cell_angle_beta 90.00
_cell_angle_gamma 90.00
loop_
_atom_site_label
_atom_site_type_symbol
_atom_site_fract_x
_atom_site_fract_y
_atom_site_fract_z
Li1 Li 0.0000 0.0000 0.1164
Pm1 Pm 0.5000 0.5000 0.3250
Ni1 Ni 0.0000 0.0000 0.5000
Ni2 Ni 0.5000 0.5000 0.0000
```

Model Q:
This record from Alexandria describes a relaxed structure of LiPmNi. The functional is GGA-PBE.

Calculated density, g cm⁻³: 5.3
Size of the total moment, μB per atom: 0.000

Geometry as CIF:
```
data_LiPmNi
_symmetry_space_group_name_H-M 'C m c m'
_symmetry_Int_Tables_number 63
_symmetry_space_group_name_Hall '-C 2c 2'
_cell_length_a 3.8105
_cell_length_b 17.2857
_cell_length_c 3.9725
_cell_angle_alpha 90.00
_cell_angle_beta 90.00
_cell_angle_gamma 90.00
loop_
_atom_site_label
_atom_site_type_symbol
_atom_site_fract_x
_atom_site_fract_y
_atom_site_fract_z
Li1 Li 0.0000 0.2071 0.2500
Pm1 Pm 0.0000 0.4080 0.2500
Ni1 Ni 0.0000 0.0407 0.2500
```

Model R:
This record from Alexandria describes a relaxed structure of LiPmNi. The functional is GGA-PBE.

Calculated density, g cm⁻³: 6.0
Size of the total moment, μB per atom: 0.000

Geometry as CIF:
```
data_LiPmNi
_symmetry_space_group_name_H-M 'I 4 m m'
_symmetry_Int_Tables_number 107
_symmetry_space_group_name_Hall 'I 4 -2'
_cell_length_a 3.5127
_cell_length_b 3.5127
_cell_length_c 9.5136
_cell_angle_alpha 90.00
_cell_angle_beta 90.00
_cell_angle_gamma 90.00
loop_
_atom_site_label
_atom_site_type_symbol
_atom_site_fract_x
_atom_site_fract_y
_atom_site_fract_z
Li1 Li 0.0000 0.0000 0.0000
Pm1 Pm 0.0000 0.0000 0.7084
Ni1 Ni 0.0000 0.0000 0.3632
```

Model S:
This record from Alexandria describes a relaxed structure of LiPmNi. The functional is GGA-PBE.

Calculated density, g cm⁻³: 5.2
Size of the total moment, μB per atom: 0.000

Geometry as CIF:
```
data_LiPmNi
_symmetry_space_group_name_H-M 'F -4 3 m'
_symmetry_Int_Tables_number 216
_symmetry_space_group_name_Hall 'F -4 2 3'
_cell_length_a 6.4535
_cell_length_b 6.4535
_cell_length_c 6.4535
_cell_angle_alpha 90.00
_cell_angle_beta 90.00
_cell_angle_gamma 90.00
loop_
_atom_site_label
_atom_site_type_symbol
_atom_site_fract_x
_atom_site_fract_y
_atom_site_fract_z
Li1 Li 0.0000 0.0000 0.0000
Pm1 Pm 0.0000 0.0000 0.5000
Ni1 Ni 0.2500 0.2500 0.7500
```

Computed stability ranking, most favorable first: model Q, model R, model P, model S

Model P:
This record from Alexandria describes a relaxed structure of LiPmNi. The functional is GGA-PBE.

Calculated density, g cm⁻³: 6.0
Size of the total moment, μB per atom: 0.000

Geometry as CIF:
```
data_LiPmNi
_symmetry_space_group_name_H-M 'P -6 m 2'
_symmetry_Int_Tables_number 187
_symmetry_space_group_name_Hall 'P -6 2'
_cell_length_a 4.2619
_cell_length_b 4.2619
_cell_length_c 3.7305
_cell_angle_alpha 90.00
_cell_angle_beta 90.00
_cell_angle_gamma 120.00
loop_
_atom_site_label
_atom_site_type_symbol
_atom_site_fract_x
_atom_site_fract_y
_atom_site_fract_z
Li1 Li 0.0000 0.0000 0.0000
Pm1 Pm 0.6667 0.3333 0.5000
Ni1 Ni 0.3333 0.6667 0.0000
```

Model Q:
This record from Alexandria describes a relaxed structure of LiPmNi. The functional is GGA-PBE.

Calculated density, g cm⁻³: 5.3
Size of the total moment, μB per atom: 0.000

Geometry as CIF:
```
data_LiPmNi
_symmetry_space_group_name_H-M 'P m m a'
_symmetry_Int_Tables_number 51
_cell_length_a 4.3211
_cell_length_b 3.6060
_cell_length_c 8.4331
_cell_angle_alpha 90.00
_cell_angle_beta 90.00
_cell_angle_gamma 90.00
loop_
_symmetry_equiv_pos_as_xyz
'x,y,z'
'-x,-y,-z'
'-x+1/2,-y,z'
'x+1/2,y,-z'
'x+1/2,-y,-z'
'-x+1/2,y,z'
'-x,y,-z'
'x,-y,z'
loop_
_atom_site_label
_atom_site_type_symbol
_atom_site_fract_x
_atom_site_fract_y
_atom_site_fract_z
Li1 Li 0.2500 0.0000 0.0995
Pm1 Pm 0.2500 0.5000 0.6790
Ni1 Ni 0.2500 0.0000 0.4140
```

Computed stability ranking, most favorable first: model Q, model P

Model P:
This record from Alexandria describes a relaxed structure of LiPm12Ni6. The functional is GGA-PBE.

Calculated density, g cm⁻³: 6.7
Size of the total moment, μB per atom: 0.000

Geometry as CIF:
```
data_LiPm12Ni6
_symmetry_space_group_name_H-M 'R -3'
_symmetry_Int_Tables_number 148
_symmetry_space_group_name_Hall '-R 3'
_cell_length_a 14.1708
_cell_length_b 14.1708
_cell_length_c 8.9377
_cell_angle_alpha 90.00
_cell_angle_beta 90.00
_cell_angle_gamma 120.00
loop_
_atom_site_label
_atom_site_type_symbol
_atom_site_fract_x
_atom_site_fract_y
_atom_site_fract_z
Li1 Li 0.0000 0.0000 0.0000
Pm1 Pm 0.0383 0.7757 0.9332
Pm2 Pm 0.0655 0.8841 0.3358
Ni1 Ni 0.0751 0.5717 0.2916
```

Model Q:
This record from Alexandria describes a relaxed structure of LiPm12Ni6. The functional is GGA-PBE.

Calculated density, g cm⁻³: 6.9
Size of the total moment, μB per atom: 0.000

Geometry as CIF:
```
data_LiPm12Ni6
_symmetry_space_group_name_H-M 'I m -3'
_symmetry_Int_Tables_number 204
_symmetry_space_group_name_Hall '-I 2 2 3'
_cell_length_a 10.0185
_cell_length_b 10.0185
_cell_length_c 10.0185
_cell_angle_alpha 90.00
_cell_angle_beta 90.00
_cell_angle_gamma 90.00
loop_
_atom_site_label
_atom_site_type_symbol
_atom_site_fract_x
_atom_site_fract_y
_atom_site_fract_z
Li1 Li 0.0000 0.0000 0.0000
Pm1 Pm 0.0000 0.3086 0.1873
Ni1 Ni 0.0000 0.1214 0.5000
```

Computed stability ranking, most favorable first: model Q, model P

Model P:
This record from Alexandria describes a relaxed structure of LiPm3Ni. The functional is GGA-PBE.

Calculated density, g cm⁻³: 5.2
Size of the total moment, μB per atom: 0.000

Geometry as CIF:
```
data_LiPm3Ni
_symmetry_space_group_name_H-M 'P m -3 m'
_symmetry_Int_Tables_number 221
_symmetry_space_group_name_Hall '-P 4 2 3'
_cell_length_a 5.4275
_cell_length_b 5.4275
_cell_length_c 5.4275
_cell_angle_alpha 90.00
_cell_angle_beta 90.00
_cell_angle_gamma 90.00
loop_
_atom_site_label
_atom_site_type_symbol
_atom_site_fract_x
_atom_site_fract_y
_atom_site_fract_z
Li1 Li 0.0000 0.0000 0.0000
Pm1 Pm 0.0000 0.5000 0.5000
Ni1 Ni 0.5000 0.5000 0.5000
```

Model Q:
This record from Alexandria describes a relaxed structure of LiPm3Ni. The functional is GGA-PBE.

Calculated density, g cm⁻³: 6.1
Size of the total moment, μB per atom: 0.000

Geometry as CIF:
```
data_LiPm3Ni
_symmetry_space_group_name_H-M 'P 1 21/c 1'
_symmetry_Int_Tables_number 14
_cell_length_a 9.0094
_cell_length_b 6.6110
_cell_length_c 10.4006
_cell_angle_alpha 90.00
_cell_angle_beta 118.75
_cell_angle_gamma 90.00
loop_
_symmetry_equiv_pos_as_xyz
'x,y,z'
'-x,-y,-z'
'-x,y+1/2,-z+1/2'
'x,-y+1/2,z+1/2'
loop_
_atom_site_label
_atom_site_type_symbol
_atom_site_fract_x
_atom_site_fract_y
_atom_site_fract_z
Li1 Li 0.0000 0.1984 0.0013
Pm1 Pm 0.1954 0.5016 0.2910
Pm2 Pm 0.2699 0.0017 0.4533
Pm3 Pm 0.3924 0.0006 0.1857
Ni1 Ni 0.5004 0.1977 0.9999
```

Computed stability ranking, most favorable first: model Q, model P

Model P:
This record from Alexandria describes a relaxed structure of Li2NiPt. The functional is GGA-PBE.

Calculated density, g cm⁻³: 8.1
Size of the total moment, μB per atom: 0.092

Geometry as CIF:
```
data_Li2NiPt
_symmetry_space_group_name_H-M 'I -4 2 d'
_symmetry_Int_Tables_number 122
_symmetry_space_group_name_Hall 'I -4 2bw'
_cell_length_a 6.6926
_cell_length_b 6.6926
_cell_length_c 4.8976
_cell_angle_alpha 90.00
_cell_angle_beta 90.00
_cell_angle_gamma 90.00
loop_
_atom_site_label
_atom_site_type_symbol
_atom_site_fract_x
_atom_site_fract_y
_atom_site_fract_z
Li1 Li 0.2391 0.2500 0.1250
Ni1 Ni 0.0000 0.0000 0.0000
Pt1 Pt 0.0000 0.0000 0.5000
```

Model Q:
This record from Alexandria describes a relaxed structure of Li2NiPt. The functional is GGA-PBE.

Calculated density, g cm⁻³: 8.5
Size of the total moment, μB per atom: 0.000

Geometry as CIF:
```
data_Li2NiPt
_symmetry_space_group_name_H-M 'P m m m'
_symmetry_Int_Tables_number 47
_cell_length_a 2.6476
_cell_length_b 3.8966
_cell_length_c 5.0718
_cell_angle_alpha 90.00
_cell_angle_beta 90.00
_cell_angle_gamma 90.00
loop_
_symmetry_equiv_pos_as_xyz
'x,y,z'
'-x,-y,-z'
'-x,-y,z'
'x,y,-z'
'x,-y,-z'
'-x,y,z'
'-x,y,-z'
'x,-y,z'
loop_
_atom_site_label
_atom_site_type_symbol
_atom_site_fract_x
_atom_site_fract_y
_atom_site_fract_z
Li1 Li 0.0000 0.0000 0.2486
Ni1 Ni 0.5000 0.5000 0.5000
Pt1 Pt 0.5000 0.5000 0.0000
```

Computed stability ranking, most favorable first: model Q, model P

Model P:
This record from Alexandria describes a relaxed structure of LiNiPt3. The functional is GGA-PBE.

Calculated density, g cm⁻³: 6.2
Size of the total moment, μB per atom: 0.356

Geometry as CIF:
```
data_LiNiPt3
_symmetry_space_group_name_H-M 'P -3 1 m'
_symmetry_Int_Tables_number 162
_symmetry_space_group_name_Hall '-P 3 2'
_cell_length_a 7.5780
_cell_length_b 7.5780
_cell_length_c 7.0354
_cell_angle_alpha 90.00
_cell_angle_beta 90.00
_cell_angle_gamma 120.00
loop_
_atom_site_label
_atom_site_type_symbol
_atom_site_fract_x
_atom_site_fract_y
_atom_site_fract_z
Li1 Li 0.0000 0.0000 0.1921
Ni1 Ni 0.3333 0.6667 0.0000
Pt1 Pt 0.0000 0.3311 0.9964
```

Model Q:
This record from Alexandria describes a relaxed structure of LiNiPt3. The functional is GGA-PBE.

Calculated density, g cm⁻³: 14.7
Size of the total moment, μB per atom: 0.257

Geometry as CIF:
```
data_LiNiPt3
_symmetry_space_group_name_H-M 'P m -3 m'
_symmetry_Int_Tables_number 221
_symmetry_space_group_name_Hall '-P 4 2 3'
_cell_length_a 4.1892
_cell_length_b 4.1892
_cell_length_c 4.1892
_cell_angle_alpha 90.00
_cell_angle_beta 90.00
_cell_angle_gamma 90.00
loop_
_atom_site_label
_atom_site_type_symbol
_atom_site_fract_x
_atom_site_fract_y
_atom_site_fract_z
Li1 Li 0.0000 0.0000 0.0000
Ni1 Ni 0.5000 0.5000 0.5000
Pt1 Pt 0.0000 0.0000 0.5000
```

Computed stability ranking, most favorable first: model P, model Q

Model P:
This record from Alexandria describes a relaxed structure of Li3NiPt. The functional is GGA-PBE.

Calculated density, g cm⁻³: 4.6
Size of the total moment, μB per atom: 0.172

Geometry as CIF:
```
data_Li3NiPt
_symmetry_space_group_name_H-M 'P m -3 m'
_symmetry_Int_Tables_number 221
_symmetry_space_group_name_Hall '-P 4 2 3'
_cell_length_a 4.6178
_cell_length_b 4.6178
_cell_length_c 4.6178
_cell_angle_alpha 90.00
_cell_angle_beta 90.00
_cell_angle_gamma 90.00
loop_
_atom_site_label
_atom_site_type_symbol
_atom_site_fract_x
_atom_site_fract_y
_atom_site_fract_z
Li1 Li 0.0000 0.0000 0.5000
Ni1 Ni 0.5000 0.5000 0.5000
Pt1 Pt 0.0000 0.0000 0.0000
```

Model Q:
This record from Alexandria describes a relaxed structure of Li3NiPt. The functional is GGA-PBE.

Calculated density, g cm⁻³: 6.1
Size of the total moment, μB per atom: 0.000

Geometry as CIF:
```
data_Li3NiPt
_symmetry_space_group_name_H-M 'P m -3 m'
_symmetry_Int_Tables_number 221
_symmetry_space_group_name_Hall '-P 4 2 3'
_cell_length_a 4.2180
_cell_length_b 4.2180
_cell_length_c 4.2180
_cell_angle_alpha 90.00
_cell_angle_beta 90.00
_cell_angle_gamma 90.00
loop_
_atom_site_label
_atom_site_type_symbol
_atom_site_fract_x
_atom_site_fract_y
_atom_site_fract_z
Li1 Li 0.0000 0.0000 0.5000
Ni1 Ni 0.0000 0.0000 0.0000
Pt1 Pt 0.5000 0.5000 0.5000
```

Computed stability ranking, most favorable first: model P, model Q